# 1
LiNd2Sm: optimized geometry, PBE.

Output
- Energy relative to the elements: 61 meV/atom
- Total magnetic moment: 0.00 μB/atom

CIF file:
```
data_LiNd2Sm
_space_group_name_H-M_alt 'P 4/m m m'
_space_group_IT_number 123
_space_group_name_Hall '-P 4 2'
_cell_length_a 3.6774
_cell_length_b 3.6774
_cell_length_c 9.2236
_cell_angle_alpha 90.00
_cell_angle_beta 90.00
_cell_angle_gamma 90.00
loop_
_atom_site_label
_atom_site_type_symbol
_atom_site_fract_x
_atom_site_fract_y
_atom_site_fract_z
Li1 Li 0.0000 0.0000 0.0000
Nd1 Nd 0.5000 0.5000 0.2254
Sm1 Sm 0.0000 0.0000 0.5000
```

=====

# 2
LiNd2Sm: optimized geometry, PBE.

Output
- Energy relative to the elements: 86 meV/atom
- Total magnetic moment: 0.00 μB/atom

CIF file:
```
data_LiNd2Sm
_space_group_name_H-M_alt 'R 3 m'
_space_group_IT_number 160
_space_group_name_Hall 'R 3 -2"'
_cell_length_a 3.6178
_cell_length_b 3.6178
_cell_length_c 34.3371
_cell_angle_alpha 90.00
_cell_angle_beta 90.00
_cell_angle_gamma 120.00
loop_
_atom_site_label
_atom_site_type_symbol
_atom_site_fract_x
_atom_site_fract_y
_atom_site_fract_z
Li1 Li 0.0000 0.0000 0.0000
Nd1 Nd 0.0000 0.0000 0.4137
Nd2 Nd 0.0000 0.0000 0.5859
Sm1 Sm 0.0000 0.0000 0.8329
```

=====

# 3
Li2Nd2SmSn2: optimized geometry, PBE.

Output
- Energy relative to the elements: -474 meV/atom
- Total magnetic moment: 0.00 μB/atom

CIF file:
```
data_Li2Nd2SmSn2
_space_group_name_H-M_alt 'R -3 m'
_space_group_IT_number 166
_space_group_name_Hall '-R 3 2"'
_cell_length_a 4.8318
_cell_length_b 4.8318
_cell_length_c 27.6510
_cell_angle_alpha 90.00
_cell_angle_beta 90.00
_cell_angle_gamma 120.00
loop_
_atom_site_label
_atom_site_type_symbol
_atom_site_fract_x
_atom_site_fract_y
_atom_site_fract_z
Li1 Li 0.0000 0.0000 0.1005
Nd1 Nd 0.0000 0.0000 0.3711
Sm1 Sm 0.0000 0.0000 0.5000
Sn1 Sn 0.0000 0.0000 0.2349
```

=====

# 4
LiNd4Sm3Te8: optimized geometry, PBE.

Output
- VASP energy: -82.5 eV/f.u.
- Total magnetic moment: 0.00 μB/atom

CIF file:
```
data_LiNd4Sm3Te8
_space_group_name_H-M_alt 'R -3 m'
_space_group_IT_number 166
_space_group_name_Hall '-R 3 2"'
_cell_length_a 8.9051
_cell_length_b 8.9051
_cell_length_c 21.8708
_cell_angle_alpha 90.00
_cell_angle_beta 90.00
_cell_angle_gamma 120.00
loop_
_atom_site_label
_atom_site_type_symbol
_atom_site_fract_x
_atom_site_fract_y
_atom_site_fract_z
Li1 Li 0.0000 0.0000 0.0000
Nd1 Nd 0.0000 0.0000 0.5000
Nd2 Nd 0.0000 0.5000 0.5000
Sm1 Sm 0.0000 0.5000 0.0000
Te1 Te 0.0000 0.0000 0.2514
Te2 Te 0.0088 0.5044 0.7464
```

=====

# 5
LiNdSm2Te5: optimized geometry, PBE.

Output
- VASP energy: -43.4 eV/f.u.
- Total magnetic moment: 0.00 μB/atom

CIF file:
```
data_LiNdSm2Te5
_space_group_name_H-M_alt 'C m c 21'
_space_group_IT_number 36
_space_group_name_Hall 'C 2c -2'
_cell_length_a 4.4144
_cell_length_b 18.7931
_cell_length_c 13.3159
_cell_angle_alpha 90.00
_cell_angle_beta 90.00
_cell_angle_gamma 90.00
loop_
_atom_site_label
_atom_site_type_symbol
_atom_site_fract_x
_atom_site_fract_y
_atom_site_fract_z
Li1 Li 0.0000 0.0530 0.0000
Nd1 Nd 0.0000 0.3011 0.5413
Sm1 Sm 0.0000 0.3748 0.8351
Sm2 Sm 0.0000 0.3943 0.2192
Te1 Te 0.0000 0.0020 0.3166
Te2 Te 0.0000 0.1334 0.5328
Te3 Te 0.0000 0.1845 0.8737
Te4 Te 0.0000 0.2163 0.2075
Te5 Te 0.0000 0.4542 0.6100
```

=====

# 6
LiNd3Sm2Te6: optimized geometry, PBE.

Output
- VASP energy: -61.2 eV/f.u.
- Total magnetic moment: 0.00 μB/atom

CIF file:
```
data_LiNd3Sm2Te6
_space_group_name_H-M_alt 'C 1 2/m 1'
_space_group_IT_number 12
_space_group_name_Hall '-C 2y'
_cell_length_a 19.3995
_cell_length_b 4.4493
_cell_length_c 8.8961
_cell_angle_alpha 90.00
_cell_angle_beta 103.32
_cell_angle_gamma 90.00
loop_
_atom_site_label
_atom_site_type_symbol
_atom_site_fract_x
_atom_site_fract_y
_atom_site_fract_z
Li1 Li 0.0000 0.0000 0.0000
Nd1 Nd 0.0000 0.0000 0.5000
Nd2 Nd 0.1686 0.5000 0.8315
Sm1 Sm 0.1678 0.5000 0.3376
Te1 Te 0.0007 0.5000 0.2373
Te2 Te 0.1601 0.0000 0.0824
Te3 Te 0.1665 0.0000 0.5816
```

=====

# 7
LiNd2SmTe4: optimized geometry, PBE.

Output
- VASP energy: -39.7 eV/f.u.
- Total magnetic moment: 0.00 μB/atom

CIF file:
```
data_LiNd2SmTe4
_space_group_name_H-M_alt 'P 1 2/m 1'
_space_group_IT_number 10
_space_group_name_Hall '-P 2y'
_cell_length_a 7.6956
_cell_length_b 4.4293
_cell_length_c 7.7034
_cell_angle_alpha 90.00
_cell_angle_beta 109.28
_cell_angle_gamma 90.00
loop_
_atom_site_label
_atom_site_type_symbol
_atom_site_fract_x
_atom_site_fract_y
_atom_site_fract_z
Li1 Li 0.0000 0.0000 0.0000
Nd1 Nd 0.0000 0.5000 0.5000
Nd2 Nd 0.5000 0.0000 0.5000
Sm1 Sm 0.5000 0.5000 0.0000
Te1 Te 0.2390 0.5000 0.2364
Te2 Te 0.2454 0.0000 0.7601
```

=====

# 8
LiNd3Sm3Te8: optimized geometry, PBE.

Output
- VASP energy: -76.4 eV/f.u.
- Total magnetic moment: 0.00 μB/atom

CIF file:
```
data_LiNd3Sm3Te8
_space_group_name_H-M_alt 'R -3 m'
_space_group_IT_number 166
_space_group_name_Hall '-R 3 2"'
_cell_length_a 8.8943
_cell_length_b 8.8943
_cell_length_c 21.8261
_cell_angle_alpha 90.00
_cell_angle_beta 90.00
_cell_angle_gamma 120.00
loop_
_atom_site_label
_atom_site_type_symbol
_atom_site_fract_x
_atom_site_fract_y
_atom_site_fract_z
Li1 Li 0.0000 0.0000 0.0000
Nd1 Nd 0.0000 0.5000 0.5000
Sm1 Sm 0.0000 0.5000 0.0000
Te1 Te 0.0000 0.0000 0.2513
Te2 Te 0.0019 0.5010 0.7482
```